# 1
The following is a SCAN calculation of a crystal of Li5FeSi2O8 relaxed with PBEsol, from Alexandria.

```
Li5FeSi2O8
1.0
3.644 -3.688 0.000
3.644 3.688 0.000
-0.047 0.000 6.225
Li Fe Si O
5 1 2 8
direct
0.000 0.000 0.000
0.351 0.649 0.000
0.510 0.115 0.239
0.885 0.490 0.761
0.987 0.013 0.500
0.357 0.643 0.500
0.513 0.138 0.757
0.862 0.487 0.243
0.377 0.018 0.966
0.384 0.005 0.533
0.454 0.457 0.740
0.543 0.546 0.260
0.823 0.120 0.750
0.880 0.177 0.250
0.982 0.623 0.034
0.995 0.616 0.467
```

Density of states at the Fermi level ... 0.00 states/eV per cell
Space-group type ... C2 (5)
E_form (uncorrected) ... -2.538 eV per atom
Theoretical density ... 2.7 g/cm3

***

# 2
The following is a SCAN calculation of a crystal of LaOs2Ru relaxed with PBEsol, from Alexandria.

```
LaOs2Ru
1.0
4.018 0.000 0.000
0.000 4.018 0.000
0.000 0.000 4.206
La Os Ru
1 2 1
direct
0.000 0.000 0.000
0.000 0.500 0.500
0.500 0.000 0.500
0.500 0.500 0.000
```

Density of states at the Fermi level ... 5.32 states/eV per cell
Space-group type ... P4/mmm (123)
E_form ... 69 kJ/mol of atoms
Theoretical density ... 15.2 g/cm3

***

# 3
The following is a SCAN calculation of a crystal of Ta2NiPb relaxed with PBEsol, from Alexandria.

```
Ta2NiPb
1.0
-1.995 1.995 4.311
1.995 -1.995 4.311
1.995 1.995 -4.311
Ta Ni Pb
2 1 1
direct
0.000 0.000 0.000
0.750 0.250 0.500
0.500 0.500 0.000
0.250 0.750 0.500
```

Density of states at the Fermi level ... 3.17 states/eV per cell
Space-group type ... I-4m2 (119)
E_form ... 35 kJ/mol of atoms
Theoretical density ... 15.2 g/cm3

***

# 4
The following is a SCAN calculation of a crystal of LiNiH12S2O14 relaxed with PBEsol, from Alexandria.

```
LiNiH12S2O14
1.0
5.703 0.000 0.000
0.000 11.908 0.000
-2.244 0.000 8.312
Li Ni H S O
2 2 24 4 28
direct
0.196 0.000 0.194
0.804 0.500 0.806
0.471 0.424 0.242
0.529 0.924 0.758
0.128 0.334 0.027
0.157 0.482 0.360
0.163 0.571 0.217
0.182 0.015 0.542
0.188 0.787 0.704
0.209 0.866 0.872
0.369 0.529 0.981
0.373 0.292 0.982
0.427 0.045 0.489
0.443 0.236 0.352
0.467 0.822 0.494
0.480 0.111 0.877
0.520 0.611 0.123
0.533 0.322 0.506
0.557 0.736 0.648
0.573 0.545 0.511
0.627 0.792 0.018
0.631 0.029 0.019
0.791 0.366 0.128
0.812 0.287 0.296
0.818 0.515 0.458
0.837 0.071 0.783
0.843 0.982 0.640
0.872 0.834 0.973
0.220 0.574 0.664
0.272 0.784 0.177
0.728 0.284 0.823
0.780 0.074 0.336
0.102 0.691 0.173
0.109 0.685 0.616
0.118 0.492 0.535
0.160 0.535 0.814
0.161 0.867 0.044
0.178 0.487 0.246
0.232 0.866 0.758
0.301 0.311 0.074
0.312 0.852 0.325
0.359 0.034 0.584
0.423 0.313 0.392
0.491 0.030 0.918
0.491 0.583 0.692
0.495 0.242 0.847
0.505 0.742 0.153
0.509 0.083 0.308
0.509 0.530 0.082
0.577 0.813 0.608
0.641 0.534 0.416
0.688 0.352 0.675
0.699 0.811 0.926
0.768 0.366 0.242
0.822 0.987 0.754
0.839 0.367 0.956
0.840 0.035 0.186
0.882 0.992 0.465
0.891 0.185 0.384
0.898 0.191 0.827
```

Space-group type ... P2_1 (4)
Theoretical density ... 2.2 g/cm3
Raw total energy ... -409.6 eV per cell

***

# 5
The following is a SCAN calculation of a crystal of ZnCd2Ag relaxed with PBEsol, from Alexandria.

```
ZnCd2Ag
1.0
5.240 -1.520 0.000
5.240 1.520 0.000
-2.296 0.000 4.426
Zn Cd Ag
1 2 1
direct
0.000 0.000 0.000
0.514 0.514 0.501
0.749 0.749 0.106
0.269 0.269 0.618
```

Density of states at the Fermi level ... 0.84 states/eV per cell
Space-group type ... Cm (8)
E_form ... 0 kJ/mol of atoms
Theoretical density ... 9.4 g/cm3

***

# 6
The following is a SCAN calculation of a crystal of SrGe2Sb2 relaxed with PBEsol, from Alexandria.

```
SrGe2Sb2
1.0
-2.144 2.144 7.353
2.144 -2.144 7.353
2.144 2.144 -7.353
Sr Ge Sb
1 2 2
direct
0.000 0.000 0.000
0.250 0.750 0.500
0.750 0.250 0.500
0.394 0.394 0.000
0.606 0.606 0.000
```

Density of states at the Fermi level ... 2.34 states/eV per cell
Space-group type ... I4/mmm (139)
E_form (uncorrected) ... -0.160 eV per atom
Theoretical density ... 5.8 g/cm3

***

# 7
The following is a SCAN calculation of a crystal of FeCu3 relaxed with PBEsol, from Alexandria.

```
FeCu3
1.0
1.251 0.722 8.302
-1.251 0.722 8.302
0.000 -1.445 8.302
Fe Cu
1 3
direct
0.000 0.000 0.000
0.250 0.250 0.250
0.500 0.500 0.500
0.750 0.750 0.750
```

Density of states at the Fermi level ... 1.94 states/eV per cell
Space-group type ... R-3m (166)
E_form ... 6 kJ/mol of atoms
Theoretical density ... 9.1 g/cm3

***

# 8
The following is a SCAN calculation of a crystal of AgSe2NCl relaxed with PBEsol, from Alexandria.

```
AgSe2NCl
1.0
5.378 0.000 0.000
0.000 5.378 0.000
0.000 0.000 3.234
Ag Se N Cl
1 2 1 1
direct
0.000 0.000 0.000
0.000 0.500 0.500
0.500 0.000 0.500
0.500 0.500 0.000
0.500 0.500 0.500
```

Density of states at the Fermi level ... 4.42 states/eV per cell
Space-group type ... P4/mmm (123)
E_form (uncorrected) ... 1.506 eV per atom
Theoretical density ... 5.6 g/cm3

***

# 9
The following is a SCAN calculation of a crystal of Y2Al2Ni relaxed with PBEsol, from Alexandria.

```
Y2Al2Ni
1.0
-2.067 2.655 4.636
2.067 -2.655 4.636
2.067 2.655 -4.636
Y Al Ni
2 2 1
direct
0.200 0.200 0.000
0.800 0.800 0.000
0.254 0.500 0.754
0.746 0.500 0.246
0.500 0.000 0.500
```

Density of states at the Fermi level ... 3.92 states/eV per cell
Space-group type ... Immm (71)
E_form ... -46 kJ/mol of atoms
Theoretical density ... 4.7 g/cm3

***

# 10
The following is a SCAN calculation of a crystal of Li2MgRh relaxed with PBEsol, from Alexandria.

```
Li2MgRh
1.0
2.890 0.000 0.000
0.000 4.560 0.000
-0.321 0.000 4.573
Li Mg Rh
2 1 1
direct
0.238 0.000 0.284
0.762 0.000 0.716
0.500 0.500 0.000
0.000 0.500 0.500
```

Density of states at the Fermi level ... 2.10 states/eV per cell
Space-group type ... P2/m (10)
E_form ... -20 kJ/mol of atoms
Theoretical density ... 3.9 g/cm3

***

# 11
The following is a SCAN calculation of a crystal of Pb2Au relaxed with PBEsol, from Alexandria.

```
Pb2Au
1.0
6.468 0.000 0.000
0.000 6.895 0.000
0.000 0.000 3.684
Pb Au
4 2
direct
0.196 0.132 0.000
0.304 0.632 0.500
0.696 0.368 0.500
0.804 0.868 0.000
0.000 0.500 0.000
0.500 0.000 0.500
```

Density of states at the Fermi level ... 1.98 states/eV per cell
Space-group type ... Pnnm (58)
E_form ... -6 kJ/mol of atoms
Theoretical density ... 12.4 g/cm3

***

# 12
The following is a SCAN calculation of a crystal of ReBrF3 relaxed with PBEsol, from Alexandria.

```
ReBrF3
1.0
4.086 0.000 0.000
0.000 4.086 0.000
0.000 0.000 4.086
Re Br F
1 1 3
direct
0.000 0.000 0.000
0.500 0.500 0.500
0.000 0.000 0.500
0.000 0.500 0.000
0.500 0.000 0.000
```

Density of states at the Fermi level ... 4.46 states/eV per cell
Space-group type ... Pm-3m (221)
E_form (uncorrected) ... -0.951 eV per atom
Theoretical density ... 7.9 g/cm3

***

- Among the records above, which one has the lowest theoretical density?
  LiNiH12S2O14

***

- Which value of theoretical density does entry 9 give?
  4.7 g/cm3

***

- Which value of theoretical density does entry 1 give?
  2.7 g/cm3